Record 1
Cs2InHg6Pb: relaxed, PBE.

abc: 7.1068 8.1568 8.3588
angles: 72.64 64.90 64.21
With the nearest neighbours (Å) after each atom.
Space group P-1 (No. 2)
Asymmetric unit:
Cs 0.2453 0.3025 0.2073 x2  11 Hg 3.95-4.38
In 0.5000 0.5000 0.5000 x1  6 Hg 2.98-3.03
Hg 0.2485 0.7682 0.2649 x2  1 In 2.98, 1 Pb 3.08
Hg 0.2511 0.8764 0.6205 x2  1 In 3.03, 1 Pb 3.13, 2 Hg 3.35-3.37
Hg 0.2806 0.2328 0.7356 x2  1 In 2.98, 1 Pb 3.09
Pb 0.0000 0.0000 0.0000 x1  6 Hg 3.08-3.13

***

Record 2
Cs2In4HgPb3: relaxed, PBE.

abc: 5.3501 5.3501 12.5677
angles: 90.00 90.00 90.00
With the nearest neighbours (Å) after each atom.
Space group P-4m2 (No. 115)
Asymmetric unit:
Cs 0.0000 0.5000 0.2482 x2  6 Pb 4.06-4.14, 8 In 4.11-4.12, 2 Hg 4.14
In 0.0000 0.0000 0.0000 x1  4 Pb 3.14
In 0.0000 0.5000 0.6226 x2  2 Hg 3.09, 3 Pb 3.09-3.10
In 0.5000 0.5000 0.0000 x1  4 Pb 3.14
Hg 0.0000 0.0000 0.5000 x1  4 In 3.09
Pb 0.0000 0.5000 0.8689 x2  5 In 3.10-3.14
Pb 0.5000 0.5000 0.5000 x1  4 In 3.09

***

Record 3
CsInHg2Pb: relaxed, PBE.

abc: 5.2626 5.3911 12.5890
angles: 90.00 90.00 90.00
With the nearest neighbours (Å) after each atom.
Space group Imm2 (No. 44)
Asymmetric unit:
Cs 0.0000 0.0000 0.0000 x2  4 In 3.96-4.29, 8 Hg 4.00-4.24, 4 Pb 4.10
In 0.0000 0.5000 0.7346 x2  2 Hg 3.05, 2 Pb 3.15
Hg 0.0000 0.0000 0.6210 x2  2 In 3.05, 1 Pb 3.13, 2 Hg 3.16
Hg 0.0000 0.5000 0.2603 x2  2 Pb 3.04, 2 Hg 3.16
Pb 0.0000 0.0000 0.3721 x2  3 Hg 3.04-3.13, 2 In 3.15

***

Record 4
CsIn2HgPd: relaxed, PBE.

abc: 5.3207 5.3207 5.5889
angles: 90.00 90.00 90.00
With the nearest neighbours (Å) after each atom.
Space group P4/mmm (No. 123)
Asymmetric unit:
Cs 0.0000 0.0000 0.0000 x1  4 Hg 3.76, 8 In 3.86
In 0.0000 0.5000 0.5000 x2  2 Pd 2.66
Hg 0.5000 0.5000 0.0000 x1  2 Pd 2.79
Pd 0.5000 0.5000 0.5000 x1  4 In 2.66, 2 Hg 2.79

***

In order of appearance, DOS(E_F) = 3.69 3.92 6.28 2.50 states/eV/cell.
In order of appearance, electronic total energy = -11.3 -25.3 -17.2 -12.8 eV/cell.